# LiTeBr4 meta-GGA SCAN PBEsol geometry
# Calculated density = 4.58 g/cm3
# Total moment = 0.87 μB/f.u.
# Formation energy without anion corrections = 7.17 kcal/mol of atoms
data_LiTeBr4
_cell_length_a 8.699
_cell_length_b 8.699
_cell_length_c 8.699
_cell_angle_alpha 90.00
_cell_angle_beta 90.00
_cell_angle_gamma 90.00
_symmetry_space_group_name_H-M 'F -4 3 m'
_symmetry_Int_Tables_number 216
_symmetry_space_group_name_Hall 'F -4 2 3'
loop_
_atom_site_label
_atom_site_type_symbol
_atom_site_fract_x
_atom_site_fract_y
_atom_site_fract_z
Li1 Li 0.000 0.000 0.000
Te1 Te 0.250 0.250 0.250
Br1 Br 0.125 0.125 0.625